No. 1
Here is crystalline MgMnS2 at its relaxed geometry from the Alexandria database. Energies are from PBE.

Lattice parameters (Å, degrees): 8.0180 8.0180 8.0180 24.28 24.28 24.28
Last column: nearest neighbours and their distance in Å.
Positions (direct):
Mg (0.0000, 0.0000, 0.0000)  2 S 2.58
Mn (0.5000, 0.5000, 0.5000)  6 S 2.35
S (0.1105, 0.1105, 0.1105)  3 Mn 2.35, 1 Mg 2.58
S (0.8895, 0.8895, 0.8895)  3 Mn 2.35, 1 Mg 2.58

Properties
Theoretical density, g/cm3: 3.1
Uncorrected energy, eV/cell: -21.024



No. 2
Here is crystalline KIn3Ga3 at its relaxed geometry from the Alexandria database. Energies are from PBE.

Lattice parameters (Å, degrees): 9.8560 9.8560 4.4772 90.00 90.00 120.00
Last column: nearest neighbours and their distance in Å.
Positions (direct):
K (0.3333, 0.6667, 0.2500)  9 Ga 3.31-3.35
K (0.6667, 0.3333, 0.7500)  9 Ga 3.31-3.35
In (0.0808, 0.8030, 0.7500)  4 Ga 2.91-3.26
In (0.1970, 0.2779, 0.7500)  4 Ga 2.91-3.26
In (0.2779, 0.0808, 0.2500)  4 Ga 2.91-3.26
In (0.7221, 0.9192, 0.7500)  4 Ga 2.91-3.26
In (0.8030, 0.7221, 0.2500)  4 Ga 2.91-3.26
In (0.9192, 0.1970, 0.2500)  4 Ga 2.91-3.26
Ga (0.0543, 0.4751, 0.7500)  2 Ga 2.63, 1 In 2.91
Ga (0.4208, 0.9457, 0.7500)  2 Ga 2.63, 1 In 2.91
Ga (0.4751, 0.4208, 0.2500)  2 Ga 2.63, 1 In 2.91
Ga (0.5249, 0.5792, 0.7500)  2 Ga 2.63, 1 In 2.91
Ga (0.5792, 0.0543, 0.2500)  2 Ga 2.63, 1 In 2.91
Ga (0.9457, 0.5249, 0.2500)  2 Ga 2.63, 1 In 2.91

Properties
Theoretical density, g/cm3: 5.2
Uncorrected energy, eV/cell: -36.332
Formation energy, eV/f.u.: 0.23



| no. | D(E_F) (states/eV/cell) |
| --- | --- |
| 1 | 2.5 |
| 2 | 6.5 |